1.
## Er2ScGe (GGA-PBE)

Data for a relaxed structure of Er2ScGe.

Properties
- Theoretical density: 6.84 Mg/m³
- Magnetic moment: 0.00 Bohr magnetons per cell
- Energy relative to the elements: 0.14 eV per atom

Cell lengths 3.3793, 3.3793, 33.2927 Å; angles 90.00, 90.00, 120.00 degrees
Space group R-3m (No. 166, hexagonal axes)
Unique sites:
Er1 0.0000 0.0000 0.0863 (multiplicity 6)
Sc1 0.0000 0.0000 0.5000 (multiplicity 3)
Ge1 0.0000 0.0000 0.0000 (multiplicity 3)

***

2.
## SrLa2DyS4 (GGA-PBE)

Data for a relaxed structure of SrLa2DyS4.

Properties
- Theoretical density: 5.53 Mg/m³
- Magnetic moment: 0.00 Bohr magnetons per cell
- Formation energy (no corrections): -2.0736 eV/atom

Cell lengths 7.1250, 4.0879, 7.1564 Å; angles 90.00, 109.05, 90.00 degrees
Space group P2/m (No. 10)
Unique sites:
Sr1 0.0000 0.0000 0.0000 (multiplicity 1)
La1 0.0000 0.5000 0.5000 (multiplicity 1)
La2 0.5000 0.0000 0.5000 (multiplicity 1)
Dy1 0.5000 0.5000 0.0000 (multiplicity 1)
S1 0.2590 0.5000 0.2437 (multiplicity 2)
S2 0.2645 0.0000 0.7643 (multiplicity 2)